First-principles (GGA-PBE) data for a relaxed structure of RbTmMgF6, as listed in the Alexandria database.

Calculated values
The uncorrected formation energy is -3.66 eV per atom. The calculation puts the total magnetic moment at 0.13 μB/cell. Its mass density is 3.99 Mg/m³.

Cell: 7.9858 7.5454 7.7162 Å, 119.27 121.16 90.00°
Last column: nearest neighbours and their distance in Å.
Positions (direct):
Rb: 0.8057 0.5557 0.6115  1 F 2.83
Rb: 0.1943 0.4443 0.3885  1 F 2.83
Tm: 0.5000 0.0000 0.5000  6 F 2.13-2.17
Tm: 0.0000 0.0000 0.5000  6 F 2.13-2.17
Mg: 0.5000 0.5000 0.0000  6 F 1.95-2.03
Mg: 0.5000 0.0000 0.0000  6 F 1.95-2.03
F: 0.4554 0.7054 0.9107  2 Mg 1.95
F: 0.8296 0.0796 0.6592  2 Tm 2.17
F: 0.8096 0.0935 0.2624  1 Mg 2.03, 1 Tm 2.13
F: 0.4528 0.6689 0.2624  1 Mg 2.03, 1 Tm 2.13
F: 0.4528 0.0935 0.2624  1 Mg 2.03, 1 Tm 2.13
F: 0.8096 0.6689 0.2624  1 Mg 2.03, 1 Tm 2.13
F: 0.5446 0.2946 0.0893  2 Mg 1.95
F: 0.1704 0.9204 0.3408  2 Tm 2.17
F: 0.1904 0.9065 0.7376  1 Mg 2.03, 1 Tm 2.13
F: 0.5472 0.3311 0.7376  1 Mg 2.03, 1 Tm 2.13
F: 0.5472 0.9065 0.7376  1 Mg 2.03, 1 Tm 2.13
F: 0.1904 0.3311 0.7376  1 Mg 2.03, 1 Tm 2.13

First-principles (GGA-PBE) data for a relaxed structure of Rb2TmMg3F12, as listed in the Alexandria database.

Calculated values
The uncorrected formation energy is -3.30 eV per atom. The calculation puts the total magnetic moment at 1.18 μB/cell. Its mass density is 3.52 Mg/m³.

Cell: 7.5962 7.5962 7.5962 Å, 58.93 58.93 58.93°
Last column: nearest neighbours and their distance in Å.
Positions (direct):
Rb: 0.6173 0.6173 0.6173  6 F 3.24-3.25
Rb: 0.3827 0.3827 0.3827  6 F 3.24-3.25
Tm: 0.0000 0.0000 0.0000  6 F 2.14
Mg: 0.5000 0.0000 0.0000  6 F 1.99-2.01
Mg: 0.0000 0.5000 0.0000  6 F 1.99-2.01
Mg: 0.0000 0.0000 0.5000  6 F 1.99-2.01
F: 0.3129 0.3129 0.9254  2 Mg 1.99
F: 0.9213 0.9213 0.3405  1 Mg 2.01, 1 Tm 2.14
F: 0.3405 0.9213 0.9213  1 Mg 2.01, 1 Tm 2.14
F: 0.9254 0.3129 0.3129  2 Mg 1.99
F: 0.9213 0.3405 0.9213  1 Mg 2.01, 1 Tm 2.14
F: 0.3129 0.9254 0.3129  2 Mg 1.99
F: 0.6871 0.6871 0.0746  2 Mg 1.99
F: 0.0787 0.0787 0.6595  1 Mg 2.01, 1 Tm 2.14
F: 0.6595 0.0787 0.0787  1 Mg 2.01, 1 Tm 2.14
F: 0.0746 0.6871 0.6871  2 Mg 1.99
F: 0.0787 0.6595 0.0787  1 Mg 2.01, 1 Tm 2.14
F: 0.6871 0.0746 0.6871  2 Mg 1.99

First-principles (GGA-PBE) data for a relaxed structure of Rb2Mg3UF12, as listed in the Alexandria database.

Calculated values
The uncorrected formation energy is -3.38 eV per atom. The calculation puts the total magnetic moment at 2.00 μB/cell. Its mass density is 4.16 Mg/m³.

Cell: 7.2491 7.2491 7.2491 Å, 62.30 62.30 62.30°
Last column: nearest neighbours and their distance in Å.
Positions (direct):
Rb: 0.6060 0.6060 0.6060  6 F 2.94-3.18
Rb: 0.3940 0.3940 0.3940  6 F 2.94-3.18
Mg: 0.5000 0.0000 0.0000  6 F 1.96-2.07
Mg: 0.0000 0.5000 0.0000  6 F 1.96-2.07
Mg: 0.0000 0.0000 0.5000  6 F 1.96-2.07
U: 0.0000 0.0000 0.0000  6 F 2.25
F: 0.2815 0.2815 0.9069  2 Mg 1.96
F: 0.8878 0.8878 0.3693  1 Mg 2.07, 1 U 2.25
F: 0.3693 0.8878 0.8878  1 Mg 2.07, 1 U 2.25
F: 0.9069 0.2815 0.2815  2 Mg 1.96
F: 0.8878 0.3693 0.8878  1 Mg 2.07, 1 U 2.25
F: 0.2815 0.9069 0.2815  2 Mg 1.96
F: 0.7185 0.7185 0.0931  2 Mg 1.96
F: 0.1122 0.1122 0.6307  1 Mg 2.07, 1 U 2.25
F: 0.6307 0.1122 0.1122  1 Mg 2.07, 1 U 2.25
F: 0.0931 0.7185 0.7185  2 Mg 1.96
F: 0.1122 0.6307 0.1122  1 Mg 2.07, 1 U 2.25
F: 0.7185 0.0931 0.7185  2 Mg 1.96